# 1
A relaxed structure of CdTcAg2, computed with PBE-GGA.

Its energy relative to the elements is 1.48 eV per formula unit.

```
CdTcAg2
1.0
-1.307 2.364 0.690
1.251 -1.339 2.101
8.410 5.152 -1.723
Cd Ag Tc
1 2 1
Direct
0.500 0.500 0.250
0.000 0.000 0.992
0.000 0.000 0.508
0.500 0.500 0.750
```


# 2
A relaxed structure of KLi2Hg, computed with PBE-GGA.

Its energy relative to the elements is 0.01 eV per formula unit.

```
KLi2Hg
1.0
-1.635 0.438 4.769
-1.360 -4.874 -0.019
7.514 -4.745 5.697
K Hg Li
2 2 4
Direct
0.250 0.750 0.500
0.500 0.500 0.000
0.750 0.250 0.500
0.000 0.000 0.000
0.757 0.125 0.250
0.375 0.243 0.750
0.993 0.625 0.250
0.875 0.007 0.750
```


# 3
A relaxed structure of TeIr2Se, computed with PBE-GGA.

The formation energy (no corrections) comes out at 225 meV per atom. For the energy relative to the lowest polymorph listed for this composition, the calculation gives 78.8 kJ/mol of formula units.

```
TeIr2Se
1.0
4.870 0.000 0.000
0.000 4.870 0.000
2.435 2.435 7.273
Ir Te Se
4 2 2
Direct
0.375 0.435 0.750
0.875 0.815 0.750
0.565 0.125 0.250
0.185 0.625 0.250
0.750 0.250 0.500
0.000 0.000 0.000
0.250 0.750 0.500
0.500 0.500 0.000
```